Pr4As2Cl3: optimized geometry, PBE.

Values from the calculation:
The crystal system is monoclinic. As for the calculated total energy: -49.55 eV per formula unit.

The structure in CIF format:
```
data_Pr4As2Cl3
_space_group_name_H-M_alt 'C 1 2/m 1'
_space_group_IT_number 12
_space_group_name_Hall '-C 2y'
_cell_length_a 7.343
_cell_length_b 4.239
_cell_length_c 17.237
_cell_angle_alpha 90.00
_cell_angle_beta 90.07
_cell_angle_gamma 90.00
loop_
_atom_site_label
_atom_site_type_symbol
_atom_site_fract_x
_atom_site_fract_y
_atom_site_fract_z
Pr1 Pr 0.001 0.000 0.300
Pr2 Pr 0.166 0.500 0.890
As1 As 0.167 0.500 0.203
Cl1 Cl 0.000 0.000 0.000
Cl2 Cl 0.166 0.500 0.605
```